No. 1
12
Lattice="2.0185 -8.4723 0.0000 2.0185 8.4723 0.0000 0.0000 0.0000 11.5636" Properties=species:S:1:pos:R:3 comment="CsAgSnTeSe2 | the Open Quantum Materials Database | PBE | relaxed" rho_g_cm3=5.4 sg=Cmcm energy_ev_per_atom=-3.42 pbc="T T T"
Ag 2.0185 -7.5098 2.8909
Ag 2.0185 7.5098 8.6727
Cs 2.0185 4.1453 2.8909
Cs 2.0185 -4.1453 8.6727
Se 2.0185 -6.5453 0.4453
Se 2.0185 -6.5453 5.3365
Se 2.0185 6.5453 6.2271
Se 2.0185 6.5453 11.1183
Sn 2.0185 0.0000 0.0000
Sn 2.0185 0.0000 5.7818
Te 2.0185 -1.0295 2.8909
Te 2.0185 1.0295 8.6727

---

No. 2
12
Lattice="-8.1312 3.3799 -1.7927 -1.6196 -2.7014 2.2528 4.6956 4.1746 8.3819" Properties=species:S:1:pos:R:3 comment="CsTaAgSe3 | the Open Quantum Materials Database | PBE | relaxed" rho_g_cm3=6.6 sg=P2_1/m de_polymorph_kj_per_mol_atoms=0.0 pbc="T T T"
Ag -0.4378 0.0080 1.3590
Ag -4.6174 4.8451 7.4829
Cs -6.2357 1.4618 2.2623
Cs 1.1805 3.3913 6.5796
Se -3.0125 -0.7914 1.8777
Se 0.3012 1.3240 3.4684
Se -2.9511 2.7099 2.7921
Se -2.1040 2.1432 6.0498
Se -5.3564 3.5291 5.3735
Se -2.0427 5.6445 6.9642
Ta -2.1544 0.4304 3.9597
Ta -2.9008 4.4227 4.8822

---

No. 3
12
Lattice="1.4821 5.7122 -5.9883 -3.1754 -2.5293 7.3624 8.8159 2.6549 4.7144" Properties=species:S:1:pos:R:3 comment="CsTaAgSe3 | the Open Quantum Materials Database | PBE | relaxed" rho_g_cm3=6.7 sg=Cmcm de_polymorph_kj_per_mol_atoms=7.7 pbc="T T T"
Ag 3.4822 6.0151 -4.2252
Ag 3.6404 -0.1773 10.3137
Cs 0.2091 0.2234 5.1570
Cs 6.9135 5.6144 0.9315
Se 1.2097 4.8643 -4.3601
Se 1.6563 2.7843 1.0085
Se 5.1194 6.0417 -2.2693
Se 2.0032 -0.2040 8.3579
Se 5.4663 3.0535 5.0800
Se 5.9129 0.9734 10.4486
Ta -0.8467 1.5914 0.6870
Ta 3.5613 2.9189 3.0443

---

No. 4
12
Lattice="-7.2984 1.4314 4.7988 4.5582 -3.8906 -6.5139 2.8265 -7.7624 6.6142" Properties=species:S:1:pos:R:3 comment="CsTaAgTe2Se | the Open Quantum Materials Database | PBE | relaxed" rho_g_cm3=6.8 sg=Cmcm energy_ev_per_atom=-4.63 pbc="T T T"
Ag 4.7957 -5.6206 -4.4127
Ag -4.7094 -4.6010 9.3119
Cs -3.6173 -1.8443 3.6143
Cs 3.7036 -8.3773 1.2849
Se 0.0036 -3.4696 0.1595
Se 0.0827 -6.7519 4.7397
Ta -1.3701 -1.2296 -0.8575
Ta 0.0432 -5.1108 2.4496
Te 3.2571 -3.4836 -5.0186
Te 4.5162 -6.9416 -2.0721
Te -4.4299 -3.2800 6.9713
Te -3.1707 -6.7380 9.9178